# PtO

A geometry-optimized PtO structure (GGA-PBE, Alexandria).

a b c (Å): 3.152 3.152 5.381
angles (deg): 90.00 90.00 90.00
Fractional positions:
Pt 0.000 0.500 0.000
Pt 0.500 0.000 0.500
O 0.000 0.000 0.250
O 0.000 0.000 0.750

Values from the calculation:
energy relative to the elements, uncorrected	-47.3	kJ/mol of formula units
SG	P4_2/mmc
ρ	13.1	Mg/m³
Fermi-level density of states	0.663	states/eV/f.u.